# 1
A plane-wave DFT calculation with PBE-GGA was carried out for a relaxed structure of SiB.

Unit cell a=3.4543 b=3.4543 c=5.2290 alpha=113.85 beta=113.85 gamma=58.73
Sites, in units of the cell vectors:
Si  0.0000  0.0000  0.0000
Si  0.0641  0.0641  0.5202
B  0.7180  0.7180  0.1536
B  0.7465  0.7465  0.5534

Properties
energy relative to the lowest polymorph listed for this composition = 38 meV/atom
DOS(E_F) = 0.4 states/eV/cell
symmetry = Cm, No. 8
E_form (uncorrected) = 0.24 eV/atom

***

# 2
A plane-wave DFT calculation with PBE-GGA was carried out for a relaxed structure of Na4Tl2Bi3.

Unit cell a=9.0648 b=9.0648 c=9.0348 alpha=107.54 beta=107.54 gamma=22.90
Sites, in units of the cell vectors:
Na  0.0160  0.0160  0.3280
Na  0.3053  0.3053  0.7050
Na  0.6947  0.6947  0.2950
Na  0.9840  0.9840  0.6720
Tl  0.1608  0.1608  0.9406
Tl  0.8392  0.8392  0.0594
Bi  0.3596  0.3596  0.3823
Bi  0.5000  0.5000  0.0000
Bi  0.6404  0.6404  0.6177

Properties
DOS(E_F) = 4.3 states/eV/cell
DFT formation energy = -2.0 eV/f.u.
symmetry = C2/m, No. 12

***

# 3
A plane-wave DFT calculation with PBE-GGA was carried out for a relaxed structure of LaPRu2.

Unit cell a=5.3355 b=5.3355 c=3.0776 alpha=106.19 beta=106.19 gamma=112.43
Sites, in units of the cell vectors:
La  0.0000  0.0000  0.0000
P  0.5000  0.5000  0.0000
Ru  0.0000  0.5000  0.0000
Ru  0.5000  0.0000  0.0000

Properties
DOS(E_F) = 4.7 states/eV/cell
DFT formation energy = 0.3 eV/f.u.
symmetry = C2/m, No. 12

***

# 4
A plane-wave DFT calculation with PBE-GGA was carried out for a relaxed structure of MgTl2CrBr6.

Unit cell a=7.1959 b=7.4103 c=13.2938 alpha=90.00 beta=121.46 gamma=90.00
Sites, in units of the cell vectors:
Mg  0.0000  0.0000  0.0000
Mg  0.0000  0.5000  0.5000
Tl  0.2667  0.0632  0.7526
Tl  0.2667  0.4368  0.2526
Tl  0.7333  0.5632  0.7474
Tl  0.7333  0.9368  0.2474
Cr  0.5000  0.0000  0.5000
Cr  0.5000  0.5000  0.0000
Br  0.1727  0.5023  0.7284
Br  0.1727  0.9977  0.2284
Br  0.2289  0.6826  0.0264
Br  0.2289  0.8174  0.5264
Br  0.3459  0.2073  0.0289
Br  0.3459  0.2927  0.5289
Br  0.6541  0.7073  0.4711
Br  0.6541  0.7927  0.9711
Br  0.7711  0.1826  0.4736
Br  0.7711  0.3174  0.9736
Br  0.8273  0.0023  0.7716
Br  0.8273  0.4977  0.2716

Properties
symmetry = P2_1/c, No. 14
E_form (uncorrected) = -0.93 eV/atom